No. 1
Ca2Pd7 (PBE-GGA, relaxed); crystal system = trigonal; ΔH_f (0 K) = -489 meV/atom; SG = R-3m, No. 166
1.0
-1.4602 2.9717 4.2526
-2.1012 -2.3786 4.3560
11.0847 -1.1726 8.0408
Ca Pd
4 14
direct
0.8522 0.8522 0.4434
0.9500 0.9500 0.1501
0.1478 0.1478 0.5566
0.0500 0.0500 0.8499
0.6134 0.6134 0.6642
0.6134 0.1091 0.6642
0.6109 0.6109 0.1674
0.7227 0.7227 0.8320
0.5000 0.5000 0.5000
0.5000 0.0000 0.0000
0.8909 0.3866 0.3358
0.0000 0.5000 0.0000
0.3866 0.8909 0.3358
0.2773 0.2773 0.1680
0.3891 0.3891 0.8326
0.5000 0.5000 0.0000
0.3866 0.3866 0.3358
0.1091 0.6134 0.6642


No. 2
Dy3Ga4Ru2 (PBE-GGA, relaxed); crystal system = monoclinic; ΔH_f (0 K) = -585 meV/atom; SG = C2/m, No. 12
1.0
4.3789 0.0000 0.0000
-2.1895 4.9706 -1.5523
0.0000 -0.0305 8.3565
Ga Ru Dy
4 2 3
direct
0.7183 0.4365 0.0722
0.0903 0.1807 0.4026
0.2817 0.5635 0.9278
0.9097 0.8193 0.5974
0.6841 0.3683 0.3565
0.3159 0.6317 0.6435
0.6324 0.2649 0.6911
0.0000 0.0000 0.0000
0.3676 0.7351 0.3089